[1]
# GGA-PBE Zr5PPb3, relaxed
# Calculated total energy, eV per cell: -129.11
# ΔE_f, kJ/mol of atoms: -56.6
data_Zr5PPb3
_chemical_formula_sum 'Zr10 P2 Pb6'
_cell_length_a 8.7313
_cell_length_b 8.7313
_cell_length_c 6.0452
_cell_angle_alpha 90.00
_cell_angle_beta 90.00
_cell_angle_gamma 120.00
_symmetry_space_group_name_H-M 'P 63/m c m'
_symmetry_Int_Tables_number 193
_symmetry_space_group_name_Hall '-P 6c 2'
loop_
_atom_site_label
_atom_site_type_symbol
_atom_site_fract_x
_atom_site_fract_y
_atom_site_fract_z
Zr1 Zr 0.0000 0.2456 0.2500
Zr2 Zr 0.3333 0.6667 0.0000
P1 P 0.0000 0.0000 0.0000
Pb1 Pb 0.0000 0.3994 0.7500

[2]
# GGA-PBE ZrP4Pb, relaxed
# Calculated total energy, eV per cell: -129.42
# ΔE_f, kJ/mol of atoms: 24.8
data_ZrP4Pb
_chemical_formula_sum 'Zr4 P16 Pb4'
_cell_length_a 7.543
_cell_length_b 7.543
_cell_length_c 7.543
_cell_angle_alpha 90.00
_cell_angle_beta 90.00
_cell_angle_gamma 90.00
_symmetry_space_group_name_H-M 'F -4 3 m'
_symmetry_Int_Tables_number 216
_symmetry_space_group_name_Hall 'F -4 2 3'
loop_
_atom_site_label
_atom_site_type_symbol
_atom_site_fract_x
_atom_site_fract_y
_atom_site_fract_z
Zr1 Zr 0.000 0.000 0.000
P1 P 0.131 0.131 0.631
Pb1 Pb 0.250 0.250 0.250

[3]
# GGA-PBE ZrP2Pb, relaxed
# Calculated total energy, eV per cell: -25.04
# ΔE_f, kJ/mol of atoms: -47.5
data_ZrP2Pb
_chemical_formula_sum 'Zr1 P2 Pb1'
_cell_length_a 3.483
_cell_length_b 3.549
_cell_length_c 6.840
_cell_angle_alpha 90.00
_cell_angle_beta 100.40
_cell_angle_gamma 90.00
_symmetry_space_group_name_H-M 'P 1 2/m 1'
_symmetry_Int_Tables_number 10
loop_
_symmetry_equiv_pos_as_xyz
'x,y,z'
'-x,-y,-z'
'-x,y,-z'
'x,-y,z'
loop_
_atom_site_label
_atom_site_type_symbol
_atom_site_fract_x
_atom_site_fract_y
_atom_site_fract_z
Zr1 Zr 0.000 0.000 0.000
P1 P 0.445 0.500 0.823
Pb1 Pb 0.000 0.000 0.500

[4]
# GGA-PBE Zr2P2Pb, relaxed
# Calculated total energy, eV per cell: -69.59
# Relative energy among the computed polymorphs, kcal/mol of atoms: 0.000
# ΔE_f, kJ/mol of atoms: -61.2
data_Zr2P2Pb
_chemical_formula_sum 'Zr4 P4 Pb2'
_cell_length_a 7.556
_cell_length_b 7.556
_cell_length_c 3.470
_cell_angle_alpha 90.00
_cell_angle_beta 90.00
_cell_angle_gamma 90.00
_symmetry_space_group_name_H-M 'P 4/m b m'
_symmetry_Int_Tables_number 127
_symmetry_space_group_name_Hall '-P 4 2ab'
loop_
_atom_site_label
_atom_site_type_symbol
_atom_site_fract_x
_atom_site_fract_y
_atom_site_fract_z
Zr1 Zr 0.149 0.351 0.000
P1 P 0.133 0.633 0.500
Pb1 Pb 0.000 0.000 0.500

[5]
# GGA-PBE ZrP2Pb, relaxed
# Calculated total energy, eV per cell: -23.51
# ΔE_f, kJ/mol of atoms: -10.6
data_ZrP2Pb
_chemical_formula_sum 'Zr1 P2 Pb1'
_cell_length_a 3.689
_cell_length_b 4.006
_cell_length_c 5.631
_cell_angle_alpha 90.00
_cell_angle_beta 90.00
_cell_angle_gamma 90.00
_symmetry_space_group_name_H-M 'P m m m'
_symmetry_Int_Tables_number 47
loop_
_symmetry_equiv_pos_as_xyz
'x,y,z'
'-x,-y,-z'
'-x,-y,z'
'x,y,-z'
'x,-y,-z'
'-x,y,z'
'-x,y,-z'
'x,-y,z'
loop_
_atom_site_label
_atom_site_type_symbol
_atom_site_fract_x
_atom_site_fract_y
_atom_site_fract_z
Zr1 Zr 0.000 0.000 0.000
P1 P 0.500 0.000 0.500
P2 P 0.500 0.500 0.000
Pb1 Pb 0.000 0.500 0.500

[6]
# GGA-PBE ZrP2Pb, relaxed
# Calculated total energy, eV per cell: -46.60
# ΔE_f, kJ/mol of atoms: -5.4
data_ZrP2Pb
_chemical_formula_sum 'Zr2 P4 Pb2'
_cell_length_a 3.884
_cell_length_b 5.498
_cell_length_c 7.881
_cell_angle_alpha 90.00
_cell_angle_beta 90.00
_cell_angle_gamma 90.00
_symmetry_space_group_name_H-M 'I m m m'
_symmetry_Int_Tables_number 71
_symmetry_space_group_name_Hall '-I 2 2'
loop_
_atom_site_label
_atom_site_type_symbol
_atom_site_fract_x
_atom_site_fract_y
_atom_site_fract_z
Zr1 Zr 0.000 0.000 0.000
P1 P 0.000 0.500 0.263
Pb1 Pb 0.000 0.000 0.500

[7]
# GGA-PBE ZrPPb2, relaxed
# Calculated total energy, eV per cell: -20.94
# ΔE_f, kJ/mol of atoms: 10.5
data_ZrPPb2
_chemical_formula_sum 'Zr1 P1 Pb2'
_cell_length_a 4.125
_cell_length_b 4.125
_cell_length_c 5.722
_cell_angle_alpha 90.00
_cell_angle_beta 90.00
_cell_angle_gamma 90.00
_symmetry_space_group_name_H-M 'P 4/m m m'
_symmetry_Int_Tables_number 123
_symmetry_space_group_name_Hall '-P 4 2'
loop_
_atom_site_label
_atom_site_type_symbol
_atom_site_fract_x
_atom_site_fract_y
_atom_site_fract_z
Zr1 Zr 0.000 0.000 0.000
P1 P 0.500 0.500 0.000
Pb1 Pb 0.000 0.500 0.500

[8]
# GGA-PBE Zr2PPb, relaxed
# Calculated total energy, eV per cell: -27.53
# Relative energy among the computed polymorphs, kcal/mol of atoms: 11.641
# ΔE_f, kJ/mol of atoms: -31.7
data_Zr2PPb
_chemical_formula_sum 'Zr2 P1 Pb1'
_cell_length_a 3.960
_cell_length_b 4.078
_cell_length_c 5.266
_cell_angle_alpha 90.00
_cell_angle_beta 90.00
_cell_angle_gamma 90.00
_symmetry_space_group_name_H-M 'P m m m'
_symmetry_Int_Tables_number 47
loop_
_symmetry_equiv_pos_as_xyz
'x,y,z'
'-x,-y,-z'
'-x,-y,z'
'x,y,-z'
'x,-y,-z'
'-x,y,z'
'-x,y,-z'
'x,-y,z'
loop_
_atom_site_label
_atom_site_type_symbol
_atom_site_fract_x
_atom_site_fract_y
_atom_site_fract_z
Zr1 Zr 0.000 0.000 0.000
Zr2 Zr 0.000 0.500 0.500
P1 P 0.500 0.000 0.500
Pb1 Pb 0.500 0.500 0.000

[9]
# GGA-PBE ZrP2Pb, relaxed
# Calculated total energy, eV per cell: -49.68
# ΔE_f, kJ/mol of atoms: -42.6
data_ZrP2Pb
_chemical_formula_sum 'Zr2 P4 Pb2'
_cell_length_a 3.511
_cell_length_b 3.725
_cell_length_c 13.913
_cell_angle_alpha 90.00
_cell_angle_beta 90.00
_cell_angle_gamma 90.00
_symmetry_space_group_name_H-M 'I m m 2'
_symmetry_Int_Tables_number 44
loop_
_symmetry_equiv_pos_as_xyz
'x,y,z'
'-x,-y,z'
'-x,y,z'
'x,-y,z'
'x+1/2,y+1/2,z+1/2'
'-x+1/2,-y+1/2,z+1/2'
'-x+1/2,y+1/2,z+1/2'
'x+1/2,-y+1/2,z+1/2'
loop_
_atom_site_label
_atom_site_type_symbol
_atom_site_fract_x
_atom_site_fract_y
_atom_site_fract_z
Zr1 Zr 0.000 0.000 0.000
P1 P 0.000 0.000 0.440
P2 P 0.000 0.500 0.642
Pb1 Pb 0.000 0.500 0.245

[10]
# GGA-PBE ZrPPb2, relaxed
# Calculated total energy, eV per cell: -21.04
# ΔE_f, kJ/mol of atoms: 8.2
data_ZrPPb2
_chemical_formula_sum 'Zr1 P1 Pb2'
_cell_length_a 4.354
_cell_length_b 4.191
_cell_length_c 5.549
_cell_angle_alpha 90.00
_cell_angle_beta 96.20
_cell_angle_gamma 90.00
_symmetry_space_group_name_H-M 'P 1 2/m 1'
_symmetry_Int_Tables_number 10
loop_
_symmetry_equiv_pos_as_xyz
'x,y,z'
'-x,-y,-z'
'-x,y,-z'
'x,-y,z'
loop_
_atom_site_label
_atom_site_type_symbol
_atom_site_fract_x
_atom_site_fract_y
_atom_site_fract_z
Zr1 Zr 0.000 0.000 0.000
P1 P 0.000 0.000 0.500
Pb1 Pb 0.405 0.500 0.741

[11]
# GGA-PBE Zr2PPb, relaxed
# Calculated total energy, eV per cell: -28.69
# Relative energy among the computed polymorphs, kcal/mol of atoms: 4.956
# ΔE_f, kJ/mol of atoms: -59.6
data_Zr2PPb
_chemical_formula_sum 'Zr2 P1 Pb1'
_cell_length_a 3.269
_cell_length_b 3.269
_cell_length_c 7.778
_cell_angle_alpha 90.00
_cell_angle_beta 90.00
_cell_angle_gamma 90.00
_symmetry_space_group_name_H-M 'P 4/m m m'
_symmetry_Int_Tables_number 123
_symmetry_space_group_name_Hall '-P 4 2'
loop_
_atom_site_label
_atom_site_type_symbol
_atom_site_fract_x
_atom_site_fract_y
_atom_site_fract_z
Zr1 Zr 0.000 0.000 0.196
P1 P 0.500 0.500 0.000
Pb1 Pb 0.500 0.500 0.500

[12]
# GGA-PBE Zr2PPb, relaxed
# Calculated total energy, eV per cell: -27.29
# Relative energy among the computed polymorphs, kcal/mol of atoms: 12.992
# ΔE_f, kJ/mol of atoms: -26.0
data_Zr2PPb
_chemical_formula_sum 'Zr2 P1 Pb1'
_cell_length_a 5.067
_cell_length_b 5.067
_cell_length_c 3.261
_cell_angle_alpha 90.00
_cell_angle_beta 90.00
_cell_angle_gamma 90.00
_symmetry_space_group_name_H-M 'P 4/m m m'
_symmetry_Int_Tables_number 123
_symmetry_space_group_name_Hall '-P 4 2'
loop_
_atom_site_label
_atom_site_type_symbol
_atom_site_fract_x
_atom_site_fract_y
_atom_site_fract_z
Zr1 Zr 0.000 0.500 0.000
P1 P 0.000 0.000 0.500
Pb1 Pb 0.500 0.500 0.500

Question: What is the ΔE_f in the second record?
Answer: 24.8 kJ/mol of atoms

Please write out number 5 again, unchanged.
# GGA-PBE ZrP2Pb, relaxed
# Calculated total energy, eV per cell: -23.51
# ΔE_f, kJ/mol of atoms: -10.6
data_ZrP2Pb
_chemical_formula_sum 'Zr1 P2 Pb1'
_cell_length_a 3.689
_cell_length_b 4.006
_cell_length_c 5.631
_cell_angle_alpha 90.00
_cell_angle_beta 90.00
_cell_angle_gamma 90.00
_symmetry_space_group_name_H-M 'P m m m'
_symmetry_Int_Tables_number 47
loop_
_symmetry_equiv_pos_as_xyz
'x,y,z'
'-x,-y,-z'
'-x,-y,z'
'x,y,-z'
'x,-y,-z'
'-x,y,z'
'-x,y,-z'
'x,-y,z'
loop_
_atom_site_label
_atom_site_type_symbol
_atom_site_fract_x
_atom_site_fract_y
_atom_site_fract_z
Zr1 Zr 0.000 0.000 0.000
P1 P 0.500 0.000 0.500
P2 P 0.500 0.500 0.000
Pb1 Pb 0.000 0.500 0.500